VASP calculation (PBE) on a relaxed structure of GeSbAu2.

Calculated values
Total energy (eV/cell): -45.6
Offset from the most stable computed form (meV per atom): 15
Formation energy (no corrections) (eV/atom): 0.020

a = 4.0095 Å, b = 4.0095 Å, c = 18.8272 Å
α = 90.00°, β = 90.00°, γ = 120.00°
Space group R-3m (No. 166, hexagonal axes)
Inequivalent atoms, fractional coordinates:
1 Ge 0.0000 0.0000 0.0000 [3 per cell]
2 Sb 0.0000 0.0000 0.5000 [3 per cell]
3 Au 0.0000 0.0000 0.2587 [6 per cell]

---

VASP calculation (PBE) on a relaxed structure of Pr4NdTe6.

Calculated values
Total energy (eV/cell): -234.6
Formation energy (no corrections) (eV/atom): -1.446

a = 4.412 Å, b = 14.841 Å, c = 23.012 Å
α = 90.00°, β = 90.00°, γ = 90.00°
Space group Cmcm (No. 63)
Inequivalent atoms, fractional coordinates:
1 Pr 0.000 0.086 0.127 [8 per cell]
2 Pr 0.000 0.356 0.037 [8 per cell]
3 Nd 0.000 0.156 0.750 [4 per cell]
4 Te 0.000 0.000 0.000 [4 per cell]
5 Te 0.000 0.188 0.250 [4 per cell]
6 Te 0.000 0.269 0.594 [8 per cell]
7 Te 0.000 0.442 0.167 [8 per cell]

---

VASP calculation (PBE) on a relaxed structure of SiNiN3.

Calculated values
Total energy (eV/cell): -27.3
Formation energy (no corrections) (eV/atom): 1.777

a = 3.661 Å, b = 3.661 Å, c = 3.661 Å
α = 90.00°, β = 90.00°, γ = 90.00°
Space group Pm-3m (No. 221)
Inequivalent atoms, fractional coordinates:
1 Si 0.000 0.000 0.000 [1 per cell]
2 Ni 0.500 0.500 0.500 [1 per cell]
3 N 0.000 0.500 0.500 [3 per cell]

---

VASP calculation (PBE) on a relaxed structure of PrZn2Pt2Au.

Calculated values
Total energy (eV/cell): -24.3
Energy relative to the elements (meV/atom): -264.8

a = 4.724 Å, b = 4.724 Å, c = 5.684 Å
α = 90.00°, β = 90.00°, γ = 90.00°
Space group P4/mmm (No. 123)
Inequivalent atoms, fractional coordinates:
1 Pr 0.000 0.000 0.000 [1 per cell]
2 Zn 0.000 0.500 0.500 [2 per cell]
3 Pt 0.500 0.500 0.240 [2 per cell]
4 Au 0.000 0.000 0.500 [1 per cell]

---

VASP calculation (PBE) on a relaxed structure of CoReSb2.

Calculated values
Total energy (eV/cell): -26.8
Offset from the most stable computed form (meV per atom): 0
Formation energy (no corrections) (eV/atom): 0.262

a = 3.059 Å, b = 3.059 Å, c = 8.722 Å
α = 90.00°, β = 90.00°, γ = 90.00°
Space group P4mm (No. 99)
Inequivalent atoms, fractional coordinates:
1 Co 0.000 0.000 0.000 [1 per cell]
2 Re 0.500 0.500 0.162 [1 per cell]
3 Sb 0.000 0.000 0.379 [1 per cell]
4 Sb 0.500 0.500 0.812 [1 per cell]

---

VASP calculation (PBE) on a relaxed structure of BC2.

Calculated values
Total energy (eV/cell): -96.6
Offset from the most stable computed form (meV per atom): 84
Energy relative to the elements (meV/atom): 323.9

a = 4.719 Å, b = 2.548 Å, c = 6.418 Å
α = 90.00°, β = 94.56°, γ = 90.00°
Space group Pm (No. 6)
Inequivalent atoms, fractional coordinates:
1 B 0.000 0.000 0.000 [1 per cell]
2 B 0.203 0.500 0.663 [1 per cell]
3 B 0.521 0.500 0.245 [1 per cell]
4 B 0.794 0.500 0.566 [1 per cell]
5 C 0.024 0.000 0.256 [1 per cell]
6 C 0.191 0.500 0.907 [1 per cell]
7 C 0.340 0.000 0.335 [1 per cell]
8 C 0.353 0.000 0.566 [1 per cell]
9 C 0.516 0.500 0.987 [1 per cell]
10 C 0.656 0.000 0.669 [1 per cell]
11 C 0.669 0.000 0.909 [1 per cell]
12 C 0.885 0.500 0.334 [1 per cell]

---

VASP calculation (PBE) on a relaxed structure of YCuHgC2.

Calculated values
Total energy (eV/cell): -17.6
Energy relative to the elements (meV/atom): 2350.1

a = 4.207 Å, b = 4.207 Å, c = 5.915 Å
α = 90.00°, β = 90.00°, γ = 90.00°
Space group P4/mmm (No. 123)
Inequivalent atoms, fractional coordinates:
1 Y 0.000 0.000 0.000 [1 per cell]
2 Cu 0.500 0.500 0.000 [1 per cell]
3 Hg 0.000 0.000 0.500 [1 per cell]
4 C 0.000 0.500 0.500 [2 per cell]

---

VASP calculation (PBE) on a relaxed structure of CdPRu2.

Calculated values
Total energy (eV/cell): -50.6
Offset from the most stable computed form (meV per atom): 19
Energy relative to the elements (meV/atom): -108.8

a = 6.626 Å, b = 2.964 Å, c = 7.217 Å
α = 90.00°, β = 111.97°, γ = 90.00°
Space group Cm (No. 8)
Inequivalent atoms, fractional coordinates:
1 Cd 0.000 0.000 0.000 [2 per cell]
2 P 0.188 0.000 0.501 [2 per cell]
3 Ru 0.052 0.500 0.674 [2 per cell]
4 Ru 0.322 0.500 0.325 [2 per cell]

---

VASP calculation (PBE) on a relaxed structure of Pu2NpCoN4.

Calculated values
Total energy (eV/cell): -358.0
Formation energy (no corrections) (eV/atom): -0.937

a = 3.355 Å, b = 11.104 Å, c = 11.415 Å
α = 90.00°, β = 90.00°, γ = 90.00°
Space group Cmcm (No. 63)
Inequivalent atoms, fractional coordinates:
1 Pu 0.000 0.131 0.058 [8 per cell]
2 Np 0.000 0.391 0.250 [4 per cell]
3 Co 0.000 0.344 0.750 [4 per cell]
4 N 0.000 0.045 0.250 [4 per cell]
5 N 0.000 0.224 0.624 [8 per cell]
6 N 0.000 0.500 0.000 [4 per cell]

---

VASP calculation (PBE) on a relaxed structure of AcCeSmLu.

Calculated values
Total energy (eV/cell): -74.0
Energy relative to the elements (meV/atom): 194.7

a = 8.244 Å, b = 8.244 Å, c = 8.244 Å
α = 90.00°, β = 90.00°, γ = 90.00°
Space group F-43m (No. 216)
Inequivalent atoms, fractional coordinates:
1 Ac 0.000 0.000 0.000 [4 per cell]
2 Ce 0.000 0.000 0.500 [4 per cell]
3 Sm 0.250 0.250 0.750 [4 per cell]
4 Lu 0.250 0.250 0.250 [4 per cell]

---

VASP calculation (PBE) on a relaxed structure of LiAc4Ge2.

Calculated values
Total energy (eV/cell): -117.1
Energy relative to the elements (meV/atom): -243.1

a = 13.794 Å, b = 11.547 Å, c = 8.631 Å
α = 90.00°, β = 128.64°, γ = 90.00°
Space group C2/c (No. 15)
Inequivalent atoms, fractional coordinates:
1 Li 0.000 0.014 0.250 [4 per cell]
2 Ac 0.000 0.234 0.532 [8 per cell]
3 Ac 0.202 0.472 0.452 [8 per cell]
4 Ge 0.000 0.500 0.000 [4 per cell]
5 Ge 0.250 0.250 0.000 [4 per cell]

---

VASP calculation (PBE) on a relaxed structure of TbThH2.

Calculated values
Total energy (eV/cell): -58.9
Offset from the most stable computed form (meV per atom): 101

a = 3.4933 Å, b = 3.4933 Å, c = 18.5072 Å
α = 90.00°, β = 90.00°, γ = 120.00°
Space group R3m (No. 160, hexagonal axes)
Inequivalent atoms, fractional coordinates:
1 Tb 0.0000 0.0000 0.0000 [3 per cell]
2 Th 0.0000 0.0000 0.8250 [3 per cell]
3 H 0.0000 0.0000 0.4047 [3 per cell]
4 H 0.0000 0.0000 0.5922 [3 per cell]